Entry from Alexandria via LeMat-Bulk: crystalline LaNd12Y7 at its relaxed geometry (PBE-GGA).

Output
space group	Im-3, No. 204
DFT total energy	-0.345	Ry per atom
ΔE_f	65	kJ/mol of atoms
N(E_F)	30.9	states/eV/cell
calculated density	5.27	Mg/m³
energy above the most stable polymorph in this dataset	519	meV per atom
M_tot	0.00	μB/cell

Unit cell a=10.065 b=10.065 c=10.065 alpha=109.47 beta=109.47 gamma=109.47
Sites, in units of the cell vectors:
Y: 0.500 0.000 0.000
Y: 0.000 0.000 0.500
Y: 0.500 0.500 0.000
Y: 0.500 0.500 0.500
Y: 0.500 0.000 0.500
Y: 0.000 0.500 0.000
Y: 0.000 0.500 0.500
Nd: 0.493 0.746 0.747
Nd: 0.747 0.493 0.746
Nd: 0.746 0.747 0.493
Nd: 0.746 0.253 0.998
Nd: 0.253 0.998 0.746
Nd: 0.747 0.002 0.254
Nd: 0.254 0.747 0.002
Nd: 0.002 0.254 0.747
Nd: 0.507 0.254 0.253
Nd: 0.253 0.507 0.254
Nd: 0.254 0.253 0.507
Nd: 0.998 0.746 0.253
La: 0.000 0.000 0.000